VASP calculation (GGA-PBE) on crystalline ZnAgSe at its relaxed geometry.

Results
distance to the lowest polymorph of the same formula = 101 meV per atom
calculated total energy = -29.8 eV/cell
total magnetic moment = 0.00 μB per cell
uncorrected formation energy = 0.17 eV/f.u.

Geometry as CIF:
```
data_ZnAgSe
_symmetry_space_group_name_H-M 'C 1 m 1'
_symmetry_Int_Tables_number 8
_cell_length_a 10.071
_cell_length_b 3.863
_cell_length_c 8.208
_cell_angle_alpha 90.00
_cell_angle_beta 111.90
_cell_angle_gamma 90.00
loop_
_symmetry_equiv_pos_as_xyz
'x,y,z'
'x,-y,z'
'x+1/2,y+1/2,z'
'x+1/2,-y+1/2,z'
loop_
_atom_site_label
_atom_site_type_symbol
_atom_site_fract_x
_atom_site_fract_y
_atom_site_fract_z
Zn1 Zn 0.000 0.000 0.000
Zn2 Zn 0.014 0.500 0.460
Ag1 Ag 0.032 0.000 0.700
Ag2 Ag 0.258 0.500 0.731
Se1 Se 0.126 0.500 0.207
Se2 Se 0.378 0.500 0.255
```

---

VASP calculation (GGA-PBE) on crystalline ZnAg2Se at its relaxed geometry.

Results
distance to the lowest polymorph of the same formula = 103 meV per atom
calculated total energy = -10.1 eV/cell
total magnetic moment = 0.00 μB per cell
uncorrected formation energy = 0.38 eV/f.u.

Geometry as CIF:
```
data_ZnAg2Se
_symmetry_space_group_name_H-M 'P 4/m m m'
_symmetry_Int_Tables_number 123
_symmetry_space_group_name_Hall '-P 4 2'
_cell_length_a 2.891
_cell_length_b 2.891
_cell_length_c 8.775
_cell_angle_alpha 90.00
_cell_angle_beta 90.00
_cell_angle_gamma 90.00
loop_
_atom_site_label
_atom_site_type_symbol
_atom_site_fract_x
_atom_site_fract_y
_atom_site_fract_z
Zn1 Zn 0.000 0.000 0.000
Ag1 Ag 0.500 0.500 0.220
Se1 Se 0.000 0.000 0.500
```

---

VASP calculation (GGA-PBE) on crystalline Zn2AgSe at its relaxed geometry.

Results
calculated total energy = -8.9 eV/cell
total magnetic moment = 0.00 μB per cell
uncorrected formation energy = -0.01 eV/f.u.

Geometry as CIF:
```
data_Zn2AgSe
_symmetry_space_group_name_H-M 'P 1 2/m 1'
_symmetry_Int_Tables_number 10
_cell_length_a 3.835
_cell_length_b 3.577
_cell_length_c 5.877
_cell_angle_alpha 90.00
_cell_angle_beta 107.91
_cell_angle_gamma 90.00
loop_
_symmetry_equiv_pos_as_xyz
'x,y,z'
'-x,-y,-z'
'-x,y,-z'
'x,-y,z'
loop_
_atom_site_label
_atom_site_type_symbol
_atom_site_fract_x
_atom_site_fract_y
_atom_site_fract_z
Zn1 Zn 0.150 0.000 0.225
Ag1 Ag 0.500 0.500 0.000
Se1 Se 0.000 0.500 0.500
```

---

VASP calculation (GGA-PBE) on crystalline ZnAg2Se at its relaxed geometry.

Results
distance to the lowest polymorph of the same formula = 120 meV per atom
calculated total energy = -20.0 eV/cell
total magnetic moment = 0.00 μB per cell
uncorrected formation energy = 0.45 eV/f.u.

Geometry as CIF:
```
data_ZnAg2Se
_symmetry_space_group_name_H-M 'C 1 2/m 1'
_symmetry_Int_Tables_number 12
_cell_length_a 6.026
_cell_length_b 8.548
_cell_length_c 2.858
_cell_angle_alpha 90.00
_cell_angle_beta 90.44
_cell_angle_gamma 90.00
loop_
_symmetry_equiv_pos_as_xyz
'x,y,z'
'-x,-y,-z'
'-x,y,-z'
'x,-y,z'
'x+1/2,y+1/2,z'
'-x+1/2,-y+1/2,-z'
'-x+1/2,y+1/2,-z'
'x+1/2,-y+1/2,z'
loop_
_atom_site_label
_atom_site_type_symbol
_atom_site_fract_x
_atom_site_fract_y
_atom_site_fract_z
Zn1 Zn 0.000 0.000 0.000
Ag1 Ag 0.250 0.250 0.500
Se1 Se 0.000 0.500 0.000
```